A geometry-optimized AlCoPO2 structure, computed with PBE+U.

Summary:
SG	No. 123
M_tot	2.2	μB/f.u.
E_tot	-5.47	eV per atom

Cell: 3.4681 3.4681 6.0045 Å, 90.00 90.00 90.00°
Last column: nearest neighbours and their distance in Å.
Sites, in units of the cell vectors:
P1 0.0000 0.0000 0.5000  4 Co 2.45
Co1 0.5000 0.5000 0.5000  4 P 2.45
Al1 0.0000 0.0000 0.0000  4 O 1.73
O1 0.0000 0.5000 0.0000  2 Al 1.73
O2 0.5000 0.0000 0.0000  2 Al 1.73